The following is a PBE calculation of crystalline InCu2Pb2 at its relaxed geometry, from Alexandria.

Output
Energy of formation from the pure elements   0.3098 eV/atom
E above lowest polymorph   157 meV/atom

Geometry as CIF:
```
data_InCu2Pb2
_chemical_formula_sum 'In2 Cu4 Pb4'
_cell_length_a 8.4528
_cell_length_b 8.4528
_cell_length_c 3.2489
_cell_angle_alpha 90.00
_cell_angle_beta 90.00
_cell_angle_gamma 90.00
_space_group_name_H-M_alt 'P 4/m b m'
_space_group_IT_number 127
_space_group_name_Hall '-P 4 2ab'
loop_
_atom_site_label
_atom_site_type_symbol
_atom_site_fract_x
_atom_site_fract_y
_atom_site_fract_z
_atom_site_occupancy
In1 In 0.0000 0.0000 0.0000 1
Cu1 Cu 0.1443 0.3557 0.5000 1
Pb1 Pb 0.1495 0.6495 0.0000 1
```

The following is a PBE calculation of crystalline RbBaInI2 at its relaxed geometry, from Alexandria.

Output
Formation energy (no corrections)   -447 meV per atom

Geometry as CIF:
```
data_RbBaInI2
_chemical_formula_sum 'Rb1 Ba1 In1 I2'
_cell_length_a 6.5188
_cell_length_b 6.5188
_cell_length_c 6.4951
_cell_angle_alpha 90.00
_cell_angle_beta 90.00
_cell_angle_gamma 90.00
_space_group_name_H-M_alt 'P 4/m m m'
_space_group_IT_number 123
_space_group_name_Hall '-P 4 2'
loop_
_atom_site_label
_atom_site_type_symbol
_atom_site_fract_x
_atom_site_fract_y
_atom_site_fract_z
_atom_site_occupancy
Rb1 Rb 0.0000 0.0000 0.0000 1
Ba1 Ba 0.5000 0.5000 0.5000 1
In1 In 0.0000 0.0000 0.5000 1
I1 I 0.0000 0.5000 0.0000 1
```

Raw total energy / eV per atom: -3.360, -2.193